1.
8
Lattice="5.7106 0.0000 0.0000 0.0000 5.7106 0.0000 2.8553 2.8553 5.5704" Properties=species:S:1:pos:R:3 comment="Ga2PdPt PBE relaxed" vol_a3_per_cell=181.7 e_form_mev_per_atom=-144.3 polymorph_energy_ev_per_fu=1.660 dos_ef_per_ev_cell=2.42 pbc="T T T"
Ga 1.4039 4.2830 1.3926
Ga 4.3068 1.4277 1.3926
Ga 4.2830 4.2592 4.1778
Ga 7.1383 7.1621 4.1778
Pd 2.8553 2.8553 0.0000
Pd 2.8553 5.7106 2.7852
Pt 0.0000 0.0000 0.0000
Pt 5.7106 2.8553 2.7852

2.
4
Lattice="-2.5435 -4.9466 -2.5232 3.0853 -5.0246 -1.5933 -0.7150 3.8896 4.6545" Properties=species:S:1:pos:R:3 comment="BaRe2Au PBE relaxed" vol_a3_per_cell=87.9 e_form_mev_per_atom=1461.2 polymorph_energy_ev_per_fu=4.400 dos_ef_per_ev_cell=5.20 pbc="T T T"
Re 0.0000 0.0000 0.0000
Re 0.2709 -4.9856 -2.0582
Au 1.3206 -3.0603 0.5015
Ba -1.4938 -3.0213 0.0365

3.
5
Lattice="-2.4337 -2.6640 -3.5933 4.4420 -1.9212 -1.5842 -0.5269 -3.8915 3.2419" Properties=species:S:1:pos:R:3 comment="CsRe3Br PBE relaxed" vol_a3_per_cell=132.1 polymorph_energy_ev_per_fu=7.215 e_form_raw_kj_per_mol_fu=2060 dos_ef_per_ev_cell=8.07 pbc="T T T"
Re -0.2634 -1.9457 1.6210
Re 2.2210 -0.9606 -0.7921
Re -1.2169 -1.3320 -1.7966
Br 0.7407 -4.2383 -0.9678
Cs 0.0000 0.0000 0.0000

4.
5
Lattice="3.8144 0.0000 0.0000 0.0000 3.8144 0.0000 0.0000 0.0000 3.7502" Properties=species:S:1:pos:R:3 comment="ReNi2HPd PBE relaxed" vol_a3_per_cell=54.6 final_energy_ev_per_atom=-6.272 dos_ef_per_ev_cell=5.86 pbc="T T T"
H 0.0000 0.0000 0.0000
Ni 1.9072 0.0000 0.0000
Ni 0.0000 1.9072 0.0000
Re 0.0000 0.0000 1.8751
Pd 1.9072 1.9072 1.8751

5.
9
Lattice="-2.3828 0.9504 -2.8417 -3.7296 -4.9030 4.0663 -0.8799 6.7841 3.0067" Properties=species:S:1:pos:R:3 comment="Rb2Cu2RhS4 PBE relaxed" vol_a3_per_cell=192.3 e_form_raw_kj_per_mol_fu=-506 dos_ef_per_ev_cell=6.80 pbc="T T T"
S -1.9153 -0.5522 1.4213
S -2.1065 5.7697 1.1172
S -5.0770 3.3837 2.8100
S -4.8858 -2.9381 3.1141
Cu -3.9397 5.5152 2.5692
Cu -3.0526 -2.6837 1.6621
Rb -5.2139 0.2195 1.8664
Rb -1.7785 2.6120 2.3648
Rh 0.0000 0.0000 0.0000

6.
4
Lattice="5.1951 0.0000 0.0000 2.5976 4.4991 0.0000 2.5976 1.4997 4.2418" Properties=species:S:1:pos:R:3 comment="PrThGePd PBE relaxed" vol_a3_per_cell=99.1 e_form_mev_per_atom=-596.4 dos_ef_per_ev_cell=4.62 pbc="T T T"
Pr 7.7927 4.4991 3.1814
Ge 0.0000 0.0000 0.0000
Pd 5.1951 2.9994 2.1209
Th 2.5976 1.4997 1.0605

7.
5
Lattice="4.7119 0.0000 0.0000 0.0000 4.9051 0.0000 0.0000 0.0000 4.7119" Properties=species:S:1:pos:R:3 comment="NaMo2PSe PBE relaxed" vol_a3_per_cell=108.9 e_form_raw_kj_per_mol_fu=525 dos_ef_per_ev_cell=3.29 pbc="T T T"
Se 0.0000 0.0000 0.0000
Na 0.0000 2.4525 0.0000
Mo 0.0000 0.0000 2.3559
Mo 2.3559 0.0000 0.0000
P 2.3559 2.4525 2.3559

8.
10
Lattice="3.7186 -6.4408 0.0000 3.7186 6.4408 0.0000 0.0000 0.0000 4.8784" Properties=species:S:1:pos:R:3 comment="CrCoBr3 PBE relaxed" vol_a3_per_cell=233.7 polymorph_energy_ev_per_fu=0.000 e_form_raw_kj_per_mol_fu=69 dos_ef_per_ev_cell=13.57 pbc="T T T"
Cr 3.7186 -2.1469 1.2196
Cr 3.7186 2.1469 3.6588
Br 3.7186 4.1042 1.2196
Br 2.0236 1.1683 1.2196
Br 5.4136 -1.1683 3.6588
Br 5.4136 1.1683 1.2196
Br 3.7186 -4.1042 3.6588
Br 2.0236 -1.1683 3.6588
Co 0.0000 0.0000 0.0000
Co 0.0000 0.0000 2.4392